A plane-wave DFT calculation with GGA-PBE was carried out for Ca3RuI after structural relaxation.

Properties
Raw formation energy: -0.159 eV per atom
Total moment: 0.000 μB/cell
Density of states at the Fermi level: 4.90 states/eV/cell

Cell: 5.509 5.509 5.509 Å, 90.00 90.00 90.00°
Element x y z (fractional)
Ca  0.000  0.000  0.500
Ca  0.000  0.500  0.000
Ca  0.500  0.000  0.000
Ru  0.000  0.000  0.000
I  0.500  0.500  0.500